Material: V3I7O
Method: DFT, PBE with a Hubbard U
State: relaxed

raw total energy = -44.3 eV for the cell shown

Cell: 7.7332 7.7332 7.5653 Å, 90.00 90.00 120.00°
Space group P3m1 (No. 156)
Symmetry-distinct sites (fractional):
1 V 0.0427 0.5214 0.0000
2 I 0.1649 0.3298 0.2377
3 I 0.3358 0.1679 0.7887
4 I 0.6667 0.3333 0.2027
5 O 0.3333 0.6667 0.9311